Density functional theory data (PBE-GGA) for a relaxed CaAcSe crystal.

Energy relative to the elements, uncorrected, eV per atom: -1.123

a = 4.154 Å, b = 4.154 Å, c = 7.275 Å
α = 90.00°, β = 90.00°, γ = 120.00°
Fractional coordinates of all 3 atoms:
Ca 0.333 0.667 0.586
Se 0.667 0.333 0.351
Ac 0.000 0.000 0.063

***

Density functional theory data (PBE-GGA) for a relaxed LuMg2Pb crystal.

Polymorph energy (0 for the lowest one), meV/atom: 161
Calculated formation energy, eV per atom: -0.077

a = 3.501 Å, b = 3.501 Å, c = 8.517 Å
α = 90.00°, β = 90.00°, γ = 90.00°
Fractional coordinates of all 4 atoms:
Mg 0.000 0.000 0.757
Mg 0.000 0.000 0.243
Pb 0.500 0.500 0.000
Lu 0.500 0.500 0.500

***

Density functional theory data (PBE-GGA) for a relaxed MgCdCl2 crystal.

Polymorph energy (0 for the lowest one), meV/atom: 182
Energy relative to the elements, uncorrected, eV per atom: -1.083

a = 3.419 Å, b = 3.984 Å, c = 9.915 Å
α = 79.63°, β = 90.00°, γ = 90.00°
Fractional coordinates of all 4 atoms:
Cd 0.500 0.750 0.750
Cl 0.000 0.086 0.104
Cl 0.000 0.414 0.396
Mg 0.500 0.250 0.250

***

- What is the formula in the third record?
  MgCdCl2